DFT (PBE+U) results for an optimized crystal structure of Li3Co2Si2O8.

Calculated values
Energy above the lowest structure with this stoichiometry   11.1 meV/atom
Symmetry   C2
Total DFT energy (no corrections)   -0.4773 Ry per atom

```
Li3Co2Si2O8
1.0
3.737 -3.790 0.000
3.737 3.790 0.000
-0.165 0.000 6.305
Li Co Si O
3 2 2 8
direct
0.000 0.000 0.000
0.130 0.510 0.739
0.490 0.870 0.261
0.632 0.368 0.000
0.978 0.022 0.500
0.133 0.515 0.246
0.485 0.867 0.754
0.041 0.381 0.460
0.098 0.822 0.251
0.178 0.902 0.749
0.440 0.483 0.218
0.517 0.560 0.782
0.609 0.010 0.972
0.619 0.959 0.540
0.990 0.391 0.028
```